Here is Mn2SiSn after structural relaxation from the Alexandria database. Energies are from PBE.

Results
* uncorrected energy: -103.5 eV/cell
* N(E_F): 1.21 states/eV/atom
* formation energy without anion corrections: 471 meV/atom

Cell: 3.930 3.930 16.827 Å, 90.00 90.00 90.00°
Space group I-42d (No. 122)
Inequivalent atoms, fractional coordinates:
Mn: 0.143 0.250 0.125 [8 per cell]
Si: 0.000 0.000 0.000 [4 per cell]
Sn: 0.000 0.000 0.500 [4 per cell]



Here is MnSi2Sn after structural relaxation from the Alexandria database. Energies are from PBE.

Results
* uncorrected energy: -91.5 eV/cell
* N(E_F): 0.40 states/eV/atom
* formation energy without anion corrections: 287 meV/atom

Cell: 4.316 4.316 16.181 Å, 90.00 90.00 90.00°
Space group I-42d (No. 122)
Inequivalent atoms, fractional coordinates:
Mn: 0.000 0.000 0.000 [4 per cell]
Si: 0.144 0.250 0.125 [8 per cell]
Sn: 0.000 0.000 0.500 [4 per cell]



Question: The lowest uncorrected energy belongs to which entry?
Answer: Mn2SiSn



Question: The highest formation energy without anion corrections belongs to which entry?
Answer: Mn2SiSn



Question: Number 2 is which compound?
Answer: MnSi2Sn



Question: What is the uncorrected energy in the second record?
Answer: -91.5 eV/cell